Record 1
A plane-wave DFT calculation with PBE was carried out for RbHgAsO after structural relaxation.

Calculated values
Theoretical density, Mg/m³: 5.829
Crystal system: tetragonal
DFT total energy, Ha/atom: -0.095

Cell lengths 4.325, 4.325, 11.485 Å; angles 90.00, 90.00, 90.00 degrees
Element x y z (fractional)
As1 0.750 0.750 0.346
As2 0.250 0.250 0.654
Hg1 0.750 0.250 0.500
Hg2 0.250 0.750 0.500
O1 0.750 0.250 0.000
O2 0.250 0.750 0.000
Rb1 0.250 0.250 0.143
Rb2 0.750 0.750 0.857



Record 2
A plane-wave DFT calculation with PBE was carried out for Cu2Ag3 after structural relaxation.

Calculated values
Theoretical density, Mg/m³: 9.552
Crystal system: monoclinic
DFT total energy, Ha/atom: -0.113
ΔE_f, eV per atom: 0.094

Cell lengths 11.412, 11.412, 4.859 Å; angles 94.31, 94.31, 14.38 degrees
Element x y z (fractional)
Ag1 0.307 0.307 0.103
Ag2 0.196 0.196 0.395
Ag3 0.495 0.495 0.490
Ag4 0.809 0.809 0.603
Ag5 0.095 0.095 0.709
Ag6 0.700 0.700 0.901
Cu1 0.997 0.997 0.002
Cu2 0.592 0.592 0.195
Cu3 0.903 0.903 0.282
Cu4 0.407 0.407 0.820



Record 3
A plane-wave DFT calculation with PBE was carried out for Dy3FeCo6Ni2 after structural relaxation.

Calculated values
Theoretical density, Mg/m³: 9.697
Crystal system: trigonal
DFT total energy, Ha/atom: -0.240
ΔE_f, eV per atom: -0.213

Cell lengths 8.569, 8.569, 8.569 Å; angles 33.82, 33.82, 33.82 degrees
Element x y z (fractional)
Co1 0.583 0.583 0.081
Co2 0.919 0.417 0.417
Co3 0.417 0.919 0.417
Co4 0.583 0.081 0.583
Co5 0.081 0.583 0.583
Co6 0.417 0.417 0.919
Dy1 0.000 0.000 0.000
Dy2 0.139 0.139 0.139
Dy3 0.861 0.861 0.861
Fe1 0.500 0.500 0.500
Ni1 0.333 0.333 0.333
Ni2 0.667 0.667 0.667



Record 4
A plane-wave DFT calculation with PBE was carried out for KDySO after structural relaxation.

Calculated values
Theoretical density, Mg/m³: 5.038
Crystal system: trigonal
DFT total energy, Ha/atom: -0.218

Cell lengths 7.211, 7.211, 7.211 Å; angles 29.86, 29.86, 29.86 degrees
Element x y z (fractional)
Dy1 0.013 0.013 0.013
K1 0.496 0.496 0.496
O1 0.727 0.727 0.727
S1 0.265 0.265 0.265